Below is crystalline Y2Si3Pd at its relaxed geometry, with properties calculated at the PBE level.

Cell: 8.162 8.162 4.072 Å, 90.00 90.00 120.00°
Fractional coordinates of all 12 atoms:
Y (0.000, 0.000, 0.000)
Y (0.000, 0.500, 0.000)
Y (0.500, 0.000, 0.000)
Y (0.500, 0.500, 0.000)
Si (0.166, 0.331, 0.500)
Si (0.166, 0.834, 0.500)
Si (0.331, 0.166, 0.500)
Si (0.669, 0.834, 0.500)
Si (0.834, 0.166, 0.500)
Si (0.834, 0.669, 0.500)
Pd (0.333, 0.667, 0.500)
Pd (0.667, 0.333, 0.500)

Properties
Spin magnetization in μB per formula unit: 0.00
Density in g/cm3: 5.21
VASP energy in eV/cell: -79.7

Below is crystalline YSi2Pd2 at its relaxed geometry, with properties calculated at the PBE level.

Cell: 7.535 7.535 2.979 Å, 90.00 90.00 90.00°
Fractional coordinates of all 10 atoms:
Y (0.000, 0.000, 0.000)
Y (0.500, 0.500, 0.000)
Si (0.140, 0.360, 0.000)
Si (0.360, 0.860, 0.000)
Si (0.640, 0.140, 0.000)
Si (0.860, 0.640, 0.000)
Pd (0.145, 0.645, 0.500)
Pd (0.355, 0.145, 0.500)
Pd (0.645, 0.855, 0.500)
Pd (0.855, 0.355, 0.500)

Properties
Spin magnetization in μB per formula unit: 0.45
Density in g/cm3: 7.03
VASP energy in eV/cell: -60.2

Below is crystalline Y2Si2Pd at its relaxed geometry, with properties calculated at the PBE level.

Cell: 6.674 6.674 4.442 Å, 90.00 90.00 90.00°
Fractional coordinates of all 10 atoms:
Y (0.173, 0.327, 0.000)
Y (0.327, 0.827, 0.000)
Y (0.673, 0.173, 0.000)
Y (0.827, 0.673, 0.000)
Si (0.132, 0.632, 0.500)
Si (0.368, 0.132, 0.500)
Si (0.632, 0.868, 0.500)
Si (0.868, 0.368, 0.500)
Pd (0.000, 0.000, 0.500)
Pd (0.500, 0.500, 0.500)

Properties
Spin magnetization in μB per formula unit: 0.00
Density in g/cm3: 5.71
VASP energy in eV/cell: -66.8

Below is crystalline Y3Si2Pd at its relaxed geometry, with properties calculated at the PBE level.

Cell: 11.471 4.242 11.340 Å, 90.00 90.00 90.00°
Fractional coordinates of all 24 atoms:
Y (0.055, 0.250, 0.125)
Y (0.122, 0.750, 0.562)
Y (0.211, 0.250, 0.807)
Y (0.289, 0.750, 0.307)
Y (0.378, 0.250, 0.062)
Y (0.445, 0.750, 0.625)
Y (0.555, 0.250, 0.375)
Y (0.622, 0.750, 0.938)
Y (0.711, 0.250, 0.693)
Y (0.789, 0.750, 0.193)
Y (0.878, 0.250, 0.438)
Y (0.945, 0.750, 0.875)
Si (0.017, 0.750, 0.312)
Si (0.189, 0.750, 0.001)
Si (0.311, 0.250, 0.501)
Si (0.483, 0.250, 0.812)
Si (0.517, 0.750, 0.188)
Si (0.689, 0.750, 0.499)
Si (0.811, 0.250, 0.999)
Si (0.983, 0.250, 0.688)
Pd (0.130, 0.250, 0.370)
Pd (0.370, 0.750, 0.870)
Pd (0.630, 0.250, 0.130)
Pd (0.870, 0.750, 0.630)

Properties
Spin magnetization in μB per formula unit: 0.00
Density in g/cm3: 5.17
VASP energy in eV/cell: -161.8

Below is crystalline YSiPd at its relaxed geometry, with properties calculated at the PBE level.

Cell: 11.375 11.375 11.375 Å, 158.10 44.78 141.44°
Fractional coordinates of all 18 atoms:
Y (0.000, 0.000, 0.000)
Y (0.254, 0.087, 0.167)
Y (0.332, 0.999, 0.333)
Y (0.593, 0.093, 0.500)
Y (0.665, 0.999, 0.667)
Y (0.919, 0.087, 0.833)
Si (0.323, 0.385, 0.938)
Si (0.447, 0.385, 0.062)
Si (0.467, 0.700, 0.766)
Si (0.788, 0.385, 0.403)
Si (0.934, 0.700, 0.234)
Si (0.982, 0.385, 0.597)
Pd (0.103, 0.372, 0.731)
Pd (0.144, 0.715, 0.429)
Pd (0.287, 0.715, 0.571)
Pd (0.606, 0.711, 0.895)
Pd (0.641, 0.372, 0.269)
Pd (0.816, 0.711, 0.105)

Properties
Spin magnetization in μB per formula unit: 0.00
Density in g/cm3: 6.52
VASP energy in eV/cell: -120.5

Below is crystalline YSi2Pd6 at its relaxed geometry, with properties calculated at the PBE level.

Cell: 5.560 5.560 6.316 Å, 90.00 90.00 120.00°
Fractional coordinates of all 9 atoms:
Y (0.000, 0.000, 0.000)
Si (0.333, 0.667, 0.500)
Si (0.667, 0.333, 0.500)
Pd (0.000, 0.500, 0.218)
Pd (0.000, 0.500, 0.782)
Pd (0.500, 0.000, 0.218)
Pd (0.500, 0.000, 0.782)
Pd (0.500, 0.500, 0.218)
Pd (0.500, 0.500, 0.782)

Properties
Spin magnetization in μB per formula unit: 0.00
Density in g/cm3: 7.69
VASP energy in eV/cell: -53.9

Below is crystalline Y2Si2Pd at its relaxed geometry, with properties calculated at the PBE level.

Cell: 8.772 8.772 8.772 Å, 156.62 156.62 33.31°
Fractional coordinates of all 5 atoms:
Y (0.105, 0.105, 0.000)
Y (0.895, 0.895, 0.000)
Si (0.250, 0.750, 0.500)
Si (0.750, 0.250, 0.500)
Pd (0.500, 0.500, 0.000)

Properties
Spin magnetization in μB per formula unit: 0.00
Density in g/cm3: 5.32
VASP energy in eV/cell: -31.5

Below is crystalline Y2Si3Pd9 at its relaxed geometry, with properties calculated at the PBE level.

Cell: 7.666 7.666 10.019 Å, 112.41 112.41 59.63°
Fractional coordinates of all 28 atoms:
Y (0.086, 0.256, 0.249)
Y (0.256, 0.086, 0.749)
Y (0.744, 0.914, 0.251)
Y (0.914, 0.744, 0.751)
Si (0.000, 0.500, 0.000)
Si (0.154, 0.674, 0.500)
Si (0.326, 0.846, 0.000)
Si (0.500, 0.000, 0.500)
Si (0.674, 0.154, 0.000)
Si (0.846, 0.326, 0.500)
Pd (0.013, 0.872, 0.078)
Pd (0.128, 0.987, 0.422)
Pd (0.182, 0.360, 0.573)
Pd (0.205, 0.579, 0.253)
Pd (0.308, 0.489, 0.954)
Pd (0.360, 0.182, 0.073)
Pd (0.361, 0.639, 0.750)
Pd (0.421, 0.795, 0.247)
Pd (0.489, 0.308, 0.454)
Pd (0.511, 0.692, 0.546)
Pd (0.579, 0.205, 0.753)
Pd (0.639, 0.361, 0.250)
Pd (0.640, 0.818, 0.927)
Pd (0.692, 0.511, 0.046)
Pd (0.795, 0.421, 0.747)
Pd (0.818, 0.640, 0.427)
Pd (0.872, 0.013, 0.578)
Pd (0.987, 0.128, 0.922)

Properties
Spin magnetization in μB per formula unit: 0.00
Density in g/cm3: 8.88
VASP energy in eV/cell: -175.1

Below is crystalline Y2Si3Pd5 at its relaxed geometry, with properties calculated at the PBE level.

Cell: 12.253 12.253 6.721 Å, 90.00 90.00 160.14°
Fractional coordinates of all 20 atoms:
Y (0.024, 0.976, 0.500)
Y (0.326, 0.674, 0.529)
Y (0.674, 0.326, 0.029)
Y (0.976, 0.024, 0.000)
Si (0.119, 0.881, 0.745)
Si (0.272, 0.728, 0.073)
Si (0.450, 0.550, 0.709)
Si (0.550, 0.450, 0.209)
Si (0.728, 0.272, 0.573)
Si (0.881, 0.119, 0.245)
Pd (0.094, 0.906, 0.108)
Pd (0.201, 0.799, 0.354)
Pd (0.221, 0.779, 0.768)
Pd (0.374, 0.626, 0.004)
Pd (0.445, 0.555, 0.335)
Pd (0.555, 0.445, 0.835)
Pd (0.626, 0.374, 0.504)
Pd (0.779, 0.221, 0.268)
Pd (0.799, 0.201, 0.854)
Pd (0.906, 0.094, 0.608)

Properties
Spin magnetization in μB per formula unit: 0.00
Density in g/cm3: 7.70
VASP energy in eV/cell: -127.4

Below is crystalline YSi2Pd4 at its relaxed geometry, with properties calculated at the PBE level.

Cell: 7.908 7.908 3.715 Å, 90.00 90.00 90.00°
Fractional coordinates of all 14 atoms:
Y (0.000, 0.000, 0.000)
Y (0.500, 0.500, 0.500)
Si (0.226, 0.226, 0.500)
Si (0.274, 0.726, 0.000)
Si (0.726, 0.274, 0.000)
Si (0.774, 0.774, 0.500)
Pd (0.073, 0.680, 0.500)
Pd (0.180, 0.427, 0.000)
Pd (0.320, 0.927, 0.500)
Pd (0.427, 0.180, 0.000)
Pd (0.573, 0.820, 0.000)
Pd (0.680, 0.073, 0.500)
Pd (0.820, 0.573, 0.000)
Pd (0.927, 0.320, 0.500)

Properties
Spin magnetization in μB per formula unit: 0.00
Density in g/cm3: 8.16
VASP energy in eV/cell: -87.9

Below is crystalline YSiPd3 at its relaxed geometry, with properties calculated at the PBE level.

Cell: 8.553 8.553 8.553 Å, 144.49 144.49 51.09°
Fractional coordinates of all 10 atoms:
Y (0.155, 0.155, 0.000)
Y (0.845, 0.845, 0.000)
Si (0.250, 0.750, 0.500)
Si (0.500, 0.500, 0.000)
Pd (0.373, 0.127, 0.754)
Pd (0.373, 0.619, 0.246)
Pd (0.381, 0.627, 0.754)
Pd (0.541, 0.041, 0.500)
Pd (0.873, 0.627, 0.246)
Pd (0.959, 0.459, 0.500)

Properties
Spin magnetization in μB per formula unit: 0.00
Density in g/cm3: 6.90
VASP energy in eV/cell: -60.3

Below is crystalline YSi6Pd12 at its relaxed geometry, with properties calculated at the PBE level.

Cell: 7.083 7.083 7.083 Å, 105.64 105.64 105.64°
Fractional coordinates of all 19 atoms:
Y (0.000, 0.000, 0.000)
Si (0.252, 0.252, 0.692)
Si (0.252, 0.692, 0.252)
Si (0.308, 0.748, 0.748)
Si (0.692, 0.252, 0.252)
Si (0.748, 0.308, 0.748)
Si (0.748, 0.748, 0.308)
Pd (0.124, 0.500, 0.876)
Pd (0.124, 0.876, 0.500)
Pd (0.170, 0.430, 0.430)
Pd (0.430, 0.170, 0.430)
Pd (0.430, 0.430, 0.170)
Pd (0.500, 0.124, 0.876)
Pd (0.500, 0.876, 0.124)
Pd (0.570, 0.570, 0.830)
Pd (0.570, 0.830, 0.570)
Pd (0.830, 0.570, 0.570)
Pd (0.876, 0.124, 0.500)
Pd (0.876, 0.500, 0.124)

Properties
Spin magnetization in μB per formula unit: 0.00
Density in g/cm3: 8.32
VASP energy in eV/cell: -113.5

Below is crystalline YSi2Pd7 at its relaxed geometry, with properties calculated at the PBE level.

Cell: 6.896 6.896 4.481 Å, 90.00 90.00 115.82°
Fractional coordinates of all 10 atoms:
Y (0.000, 0.000, 0.000)
Si (0.302, 0.698, 0.500)
Si (0.698, 0.302, 0.500)
Pd (0.062, 0.320, 0.500)
Pd (0.244, 0.756, 0.000)
Pd (0.320, 0.062, 0.500)
Pd (0.500, 0.500, 0.500)
Pd (0.680, 0.938, 0.500)
Pd (0.756, 0.244, 0.000)
Pd (0.938, 0.680, 0.500)

Properties
Spin magnetization in μB per formula unit: 0.00
Density in g/cm3: 7.70
VASP energy in eV/cell: -58.2

Below is crystalline Y2Si4Pd3 at its relaxed geometry, with properties calculated at the PBE level.

Cell: 7.969 7.969 7.304 Å, 90.00 90.00 138.61°
Fractional coordinates of all 18 atoms:
Y (0.105, 0.895, 0.906)
Y (0.395, 0.605, 0.406)
Y (0.605, 0.395, 0.594)
Y (0.895, 0.105, 0.094)
Si (0.178, 0.822, 0.523)
Si (0.187, 0.313, 0.750)
Si (0.313, 0.187, 0.250)
Si (0.322, 0.678, 0.023)
Si (0.678, 0.322, 0.977)
Si (0.687, 0.813, 0.750)
Si (0.813, 0.687, 0.250)
Si (0.822, 0.178, 0.477)
Pd (0.000, 0.000, 0.500)
Pd (0.022, 0.478, 0.750)
Pd (0.478, 0.022, 0.250)
Pd (0.500, 0.500, 0.000)
Pd (0.522, 0.978, 0.750)
Pd (0.978, 0.522, 0.250)

Properties
Spin magnetization in μB per formula unit: 0.00
Density in g/cm3: 6.60
VASP energy in eV/cell: -114.8

Below is crystalline YSiPd at its relaxed geometry, with properties calculated at the PBE level.

Cell: 4.339 14.026 7.474 Å, 90.00 90.00 90.00°
Fractional coordinates of all 24 atoms:
Y (0.250, 0.001, 0.209)
Y (0.250, 0.250, 0.301)
Y (0.250, 0.499, 0.209)
Y (0.250, 0.750, 0.293)
Y (0.750, 0.250, 0.707)
Y (0.750, 0.501, 0.791)
Y (0.750, 0.750, 0.699)
Y (0.750, 0.999, 0.791)
Si (0.250, 0.103, 0.592)
Si (0.250, 0.397, 0.592)
Si (0.250, 0.658, 0.909)
Si (0.250, 0.842, 0.909)
Si (0.750, 0.158, 0.091)
Si (0.750, 0.342, 0.091)
Si (0.750, 0.603, 0.408)
Si (0.750, 0.897, 0.408)
Pd (0.250, 0.142, 0.923)
Pd (0.250, 0.358, 0.923)
Pd (0.250, 0.594, 0.582)
Pd (0.250, 0.906, 0.582)
Pd (0.750, 0.094, 0.418)
Pd (0.750, 0.406, 0.418)
Pd (0.750, 0.642, 0.077)
Pd (0.750, 0.858, 0.077)

Properties
Spin magnetization in μB per formula unit: 0.00
Density in g/cm3: 6.53
VASP energy in eV/cell: -160.8

Below is crystalline YSi3Pd at its relaxed geometry, with properties calculated at the PBE level.

Cell: 4.741 4.741 4.741 Å, 90.00 90.00 90.00°
Fractional coordinates of all 5 atoms:
Y (0.000, 0.000, 0.000)
Si (0.000, 0.500, 0.500)
Si (0.500, 0.000, 0.500)
Si (0.500, 0.500, 0.000)
Pd (0.500, 0.500, 0.500)

Properties
Spin magnetization in μB per formula unit: 0.00
Density in g/cm3: 4.36
VASP energy in eV/cell: -26.9

Below is crystalline Y2SiPd6 at its relaxed geometry, with properties calculated at the PBE level.

Cell: 5.722 5.722 5.663 Å, 90.00 90.00 120.00°
Fractional coordinates of all 9 atoms:
Y (0.333, 0.667, 0.180)
Y (0.667, 0.333, 0.820)
Si (0.000, 0.000, 0.000)
Pd (0.171, 0.342, 0.700)
Pd (0.171, 0.829, 0.700)
Pd (0.342, 0.171, 0.300)
Pd (0.658, 0.829, 0.700)
Pd (0.829, 0.171, 0.300)
Pd (0.829, 0.658, 0.300)

Properties
Spin magnetization in μB per formula unit: 0.00
Density in g/cm3: 8.73
VASP energy in eV/cell: -57.3

Below is crystalline YSi2Pd2 at its relaxed geometry, with properties calculated at the PBE level.

Cell: 5.792 5.792 5.792 Å, 137.93 137.93 61.01°
Fractional coordinates of all 5 atoms:
Y (0.000, 0.000, 0.000)
Si (0.383, 0.383, 0.000)
Si (0.617, 0.617, 0.000)
Pd (0.250, 0.750, 0.500)
Pd (0.750, 0.250, 0.500)

Properties
Spin magnetization in μB per formula unit: 0.00
Density in g/cm3: 6.89
VASP energy in eV/cell: -32.4

Below is crystalline Y2Si2Pd3 at its relaxed geometry, with properties calculated at the PBE level.

Cell: 5.514 5.514 7.039 Å, 113.03 113.03 41.31°
Fractional coordinates of all 7 atoms:
Y (0.134, 0.134, 0.271)
Y (0.866, 0.866, 0.729)
Si (0.152, 0.152, 0.720)
Si (0.848, 0.848, 0.280)
Pd (0.372, 0.372, 0.065)
Pd (0.500, 0.500, 0.500)
Pd (0.628, 0.628, 0.935)

Properties
Spin magnetization in μB per formula unit: 0.00
Density in g/cm3: 7.16
VASP energy in eV/cell: -45.9

Number 1: volume 19.574 Å³/atom. Number 2: volume 16.913 Å³/atom. Number 3: volume 19.790 Å³/atom. Number 4: volume 22.991 Å³/atom. Number 5: volume 18.960 Å³/atom. Number 6: volume 18.789 Å³/atom. Number 7: volume 21.247 Å³/atom. Number 8: volume 16.299 Å³/atom. Number 9: volume 17.137 Å³/atom. Number 10: volume 16.598 Å³/atom. Number 11: volume 20.996 Å³/atom. Number 12: volume 16.118 Å³/atom. Number 13: volume 19.183 Å³/atom. Number 14: volume 17.038 Å³/atom. Number 15: volume 18.951 Å³/atom. Number 16: volume 21.315 Å³/atom. Number 17: volume 17.840 Å³/atom. Number 18: volume 17.251 Å³/atom. Number 19: volume 18.336 Å³/atom.